A relaxed structure of CaLaMgTl, computed with PBE.

Cell and atoms, written as POSCAR:
```
CaLaMgTl
1.0
5.566 0.000 0.000
2.783 4.820 0.000
2.783 1.607 4.545
Mg Tl Ca La
1 1 1 1
direct
0.500 0.500 0.500
0.000 0.000 0.000
0.750 0.750 0.750
0.250 0.250 0.250
```

Fermi-level density of states = 1.95 states/eV/f.u.
Space group = F-43m (216)
Calculated formation energy = -29 kJ per mole of atoms

***

A relaxed structure of BaZnRe2Cl, computed with PBE.

Cell and atoms, written as POSCAR:
```
BaZnRe2Cl
1.0
4.706 0.000 0.000
0.000 6.381 0.000
0.000 0.000 4.706
Re Zn Ba Cl
2 1 1 1
direct
0.000 0.000 0.500
0.500 0.000 0.000
0.000 0.000 0.000
0.500 0.500 0.500
0.000 0.500 0.000
```

Uncorrected formation energy = 1253 meV/atom
Fermi-level density of states = 5.09 states/eV/f.u.
Space group = P4/mmm (123)

***

A relaxed structure of Pu3SiGe, computed with PBE.

Cell and atoms, written as POSCAR:
```
Pu3SiGe
1.0
-0.001 2.306 -4.552
2.200 -6.314 -3.199
-7.230 1.457 0.740
Pu Si Ge
6 2 2
direct
0.250 0.805 0.195
0.750 0.195 0.805
0.250 0.805 0.610
0.750 0.195 0.390
0.250 0.390 0.195
0.750 0.610 0.805
0.000 0.000 0.000
0.500 0.000 0.000
0.250 0.334 0.666
0.750 0.666 0.334
```

Energy relative to the lowest polymorph listed for this composition = 137 meV per atom
Uncorrected formation energy = -157 meV/atom
Fermi-level density of states = 17.67 states/eV/f.u.
Space group = P6_3/mmc (194)

***

A relaxed structure of Sr8Zn2Cd, computed with PBE.

Cell and atoms, written as POSCAR:
```
Sr8Zn2Cd
1.0
5.718 0.000 0.000
0.000 8.061 0.147
-2.859 -3.285 9.754
Sr Zn Cd
8 2 1
direct
0.405 0.542 0.810
0.673 0.970 0.345
0.797 0.677 0.593
0.964 0.209 0.928
0.203 0.323 0.407
0.327 0.030 0.655
0.595 0.458 0.190
0.036 0.791 0.072
0.815 0.289 0.631
0.185 0.711 0.369
0.500 0.000 0.000
```

Energy relative to the lowest polymorph listed for this composition = 0 meV per atom
Fermi-level density of states = 14.78 states/eV/f.u.
Space group = C2/m (12)
Calculated formation energy = -9 kJ per mole of atoms

***

A relaxed structure of Sc12Pb3O5, computed with PBE.

Cell and atoms, written as POSCAR:
```
Sc12Pb3O5
1.0
-12.318 1.150 -2.760
5.649 -7.169 -8.795
1.292 -5.457 11.367
Pb O Sc
12 20 48
direct
0.750 0.375 0.125
0.875 0.750 0.125
0.375 0.750 0.625
0.250 0.125 0.375
0.875 0.125 0.250
0.375 0.625 0.250
0.625 0.375 0.750
0.125 0.875 0.750
0.750 0.875 0.625
0.625 0.250 0.375
0.125 0.250 0.875
0.250 0.625 0.875
0.125 0.375 0.250
0.000 0.500 0.000
0.000 0.000 0.000
0.375 0.250 0.125
0.500 0.000 0.500
0.500 0.500 0.000
0.125 0.750 0.375
0.750 0.125 0.875
0.750 0.625 0.375
0.375 0.125 0.750
0.625 0.875 0.250
0.500 0.500 0.500
0.500 0.000 0.000
0.000 0.000 0.500
0.250 0.375 0.625
0.250 0.875 0.125
0.000 0.500 0.500
0.875 0.250 0.625
0.625 0.750 0.875
0.875 0.625 0.750
0.691 0.102 0.002
0.311 0.502 0.400
0.998 0.398 0.309
0.502 0.191 0.102
0.588 0.691 0.689
0.998 0.600 0.189
0.311 0.809 0.412
0.100 0.912 0.102
0.600 0.998 0.689
0.691 0.588 0.189
0.809 0.498 0.398
0.811 0.900 0.002
0.102 0.691 0.502
0.398 0.400 0.088
0.088 0.900 0.398
0.412 0.102 0.600
0.088 0.189 0.191
0.498 0.689 0.100
0.811 0.912 0.309
0.102 0.412 0.100
0.398 0.998 0.809
0.600 0.602 0.412
0.900 0.811 0.502
0.809 0.311 0.912
0.400 0.398 0.588
0.100 0.189 0.498
0.191 0.689 0.088
0.189 0.088 0.691
0.602 0.002 0.191
0.898 0.588 0.900
0.502 0.311 0.900
0.588 0.898 0.400
0.912 0.811 0.809
0.912 0.100 0.602
0.898 0.309 0.498
0.189 0.100 0.998
0.602 0.600 0.912
0.400 0.002 0.311
0.309 0.412 0.811
0.191 0.502 0.602
0.900 0.088 0.898
0.689 0.191 0.588
0.498 0.809 0.898
0.002 0.400 0.811
0.412 0.309 0.311
0.002 0.602 0.691
0.689 0.498 0.600
0.309 0.898 0.998
```

Uncorrected formation energy = -1538 meV/atom
Fermi-level density of states = 18.35 states/eV/f.u.
Space group = Ia-3d (230)

***

A relaxed structure of YMg2Fe, computed with PBE.

Cell and atoms, written as POSCAR:
```
YMg2Fe
1.0
5.461 -0.025 0.047
4.513 3.075 0.047
1.987 0.608 5.189
Fe Mg Y
1 2 1
direct
0.272 0.272 0.332
0.959 0.959 0.975
0.735 0.735 0.771
0.534 0.534 0.423
```

Fermi-level density of states = 2.91 states/eV/f.u.
Space group = Cm (8)
Calculated formation energy = 20 kJ per mole of atoms

***

A relaxed structure of Tb4Bi3N, computed with PBE.

Cell and atoms, written as POSCAR:
```
Tb4Bi3N
1.0
6.325 0.000 0.000
0.000 8.676 0.000
0.000 0.000 9.795
Tb Bi N
8 6 2
direct
0.068 0.913 0.000
0.636 0.181 0.000
0.071 0.301 0.203
0.571 0.699 0.297
0.136 0.819 0.500
0.568 0.087 0.500
0.571 0.699 0.703
0.071 0.301 0.797
0.558 0.839 0.000
0.059 0.660 0.230
0.559 0.340 0.270
0.058 0.161 0.500
0.559 0.340 0.730
0.059 0.660 0.770
0.994 0.177 0.000
0.494 0.823 0.500
```

Uncorrected formation energy = -786 meV/atom
Fermi-level density of states = 0.38 states/eV/f.u.
Space group = Pmn2_1 (31)

***

A relaxed structure of LaPrZnPd, computed with PBE.

Cell and atoms, written as POSCAR:
```
LaPrZnPd
1.0
3.989 0.000 0.000
0.000 4.568 0.000
-1.994 0.000 5.757
La Pr Zn Pd
1 1 1 1
direct
0.859 0.500 0.718
0.138 0.000 0.276
0.573 0.500 0.147
0.430 0.000 0.859
```

Energy relative to the lowest polymorph listed for this composition = 0 meV per atom
Fermi-level density of states = 3.76 states/eV/f.u.
Space group = Amm2 (38)
Calculated formation energy = -52 kJ per mole of atoms

***

A relaxed structure of LiPr2Ga4Pd3, computed with PBE.

Cell and atoms, written as POSCAR:
```
LiPr2Ga4Pd3
1.0
4.446 0.000 0.000
0.000 4.446 0.000
0.000 0.000 9.940
Li Pr Ga Pd
1 2 4 3
direct
0.500 0.500 0.500
0.500 0.000 0.248
0.000 0.500 0.752
0.500 0.500 0.000
0.000 0.000 0.000
0.500 0.000 0.623
0.000 0.500 0.377
0.000 0.000 0.500
0.500 0.000 0.872
0.000 0.500 0.128
```

Fermi-level density of states = 7.24 states/eV/f.u.
Space group = P-4m2 (115)
Calculated formation energy = -68 kJ per mole of atoms

***

A relaxed structure of LaCd3Au, computed with PBE.

Cell and atoms, written as POSCAR:
```
LaCd3Au
1.0
-4.600 -0.542 3.318
-3.475 -1.102 -4.997
3.262 -6.642 -0.803
La Cd Au
2 6 2
direct
0.749 0.948 0.925
0.285 0.448 0.635
0.832 0.448 0.180
0.203 0.948 0.381
0.727 0.181 0.471
0.727 0.714 0.471
0.307 0.681 0.090
0.307 0.214 0.090
0.854 0.448 0.812
0.181 0.948 0.748
```

Energy relative to the lowest polymorph listed for this composition = 0 meV per atom
Fermi-level density of states = 2.60 states/eV/f.u.
Space group = P2_1/m (11)
Calculated formation energy = -38 kJ per mole of atoms